i) A plane-wave DFT calculation with PBEsol was carried out for a relaxed structure of SbPb2.

Results
The crystal system is monoclinic.

Cell lengths 13.140, 3.400, 8.282 Å; angles 90.00, 109.18, 90.00 degrees
Space group C2/m (No. 12)
Unique sites:
Sb  0.207  0.000  0.177 (multiplicity 4)
Pb  0.057  0.500  0.844 (multiplicity 4)
Pb  0.128  0.000  0.498 (multiplicity 4)


ii) A plane-wave DFT calculation with PBEsol was carried out for a relaxed structure of SbPb2.

Results
The crystal system is hexagonal.

Cell lengths 8.6141, 8.6141, 4.2219 Å; angles 90.00, 90.00, 120.00 degrees
Space group P-62m (No. 189)
Unique sites:
Sb  0.0000  0.0000  0.0000 (multiplicity 1)
Sb  0.3333  0.6667  0.5000 (multiplicity 2)
Pb  0.0000  0.2717  0.5000 (multiplicity 3)
Pb  0.0000  0.5939  0.0000 (multiplicity 3)


iii) A plane-wave DFT calculation with PBEsol was carried out for a relaxed structure of SbPb2.

Results
The crystal system is hexagonal.

Cell lengths 5.5280, 5.5280, 6.5596 Å; angles 90.00, 90.00, 120.00 degrees
Space group P6_3/mmc (No. 194)
Unique sites:
Sb  0.3333  0.6667  0.2500 (multiplicity 2)
Pb  0.0000  0.0000  0.0000 (multiplicity 2)
Pb  0.3333  0.6667  0.7500 (multiplicity 2)


Energy relative to the most stable one, in meV per atom: i) 26; ii) 33; iii) 0


i) A plane-wave DFT calculation with PBEsol was carried out for a relaxed structure of Sc2SbPb.

Results
The crystal system is orthorhombic.

Cell lengths 4.047, 4.270, 5.390 Å; angles 90.00, 90.00, 90.00 degrees
Space group Pmmm (No. 47)
Unique sites:
Sc  0.000  0.000  0.000 (multiplicity 1)
Sc  0.000  0.500  0.500 (multiplicity 1)
Sb  0.500  0.000  0.500 (multiplicity 1)
Pb  0.500  0.500  0.000 (multiplicity 1)


ii) A plane-wave DFT calculation with PBEsol was carried out for a relaxed structure of Sc2SbPb.

Results
The crystal system is tetragonal.

Cell lengths 3.755, 3.755, 6.569 Å; angles 90.00, 90.00, 90.00 degrees
Space group P4/mmm (No. 123)
Unique sites:
Sc  0.000  0.000  0.235 (multiplicity 2)
Sb  0.500  0.500  0.000 (multiplicity 1)
Pb  0.500  0.500  0.500 (multiplicity 1)


iii) A plane-wave DFT calculation with PBEsol was carried out for a relaxed structure of Sc2SbPb.

Results
The crystal system is tetragonal.

Cell lengths 4.214, 4.214, 10.244 Å; angles 90.00, 90.00, 90.00 degrees
Space group I-4m2 (No. 119)
Unique sites:
Sc  0.000  0.000  0.000 (multiplicity 2)
Sc  0.000  0.500  0.250 (multiplicity 2)
Sb  0.000  0.000  0.500 (multiplicity 2)
Pb  0.000  0.500  0.750 (multiplicity 2)


Energy relative to the most stable one, in meV per atom: i) 80; ii) 106; iii) 0


i) A plane-wave DFT calculation with PBEsol was carried out for a relaxed structure of Sc2SbPb.

Results
The crystal system is tetragonal.

Cell lengths 4.136, 4.136, 5.851 Å; angles 90.00, 90.00, 90.00 degrees
Space group P4/mmm (No. 123)
Unique sites:
Sc  0.000  0.000  0.000 (multiplicity 1)
Sc  0.500  0.500  0.500 (multiplicity 1)
Sb  0.000  0.000  0.500 (multiplicity 1)
Pb  0.500  0.500  0.000 (multiplicity 1)


ii) A plane-wave DFT calculation with PBEsol was carried out for a relaxed structure of Sc2SbPb.

Results
The crystal system is trigonal.

Cell lengths 3.9382, 3.9382, 22.2761 Å; angles 90.00, 90.00, 120.00 degrees
Space group R-3m (No. 166, hexagonal axes)
Unique sites:
Sc  0.0000  0.0000  0.2444 (multiplicity 6)
Sb  0.0000  0.0000  0.5000 (multiplicity 3)
Pb  0.0000  0.0000  0.0000 (multiplicity 3)


Energy relative to the most stable one, in meV per atom: i) 38; ii) 0